1.
This record from Alexandria describes crystalline ZrInRh2 at its relaxed geometry. The functional is GGA-PBEsol.

The structure in POSCAR format:
```
ZrInRh2
1.0
3.0630 -3.2685 0.0000
3.0630 3.2685 0.0000
0.0000 0.0000 3.3085
Zr In Rh
1 1 2
direct
0.0000 0.0000 0.0000 Zr
0.5000 0.5000 0.0000 In
0.0000 0.5000 0.5000 Rh
0.5000 0.0000 0.5000 Rh
```

Results
- Raw total energy: -31.1 eV per formula unit
- Space-group type: No. 65
- Calculated formation energy: -676 meV/atom
- Magnetization: 0.000 μB/atom

2.
This record from Alexandria describes crystalline ScCoTc2 at its relaxed geometry. The functional is GGA-PBEsol.

The structure in POSCAR format:
```
ScCoTc2
1.0
0.0000 3.0403 3.0403
3.0403 0.0000 3.0403
3.0403 3.0403 0.0000
Sc Co Tc
1 1 2
direct
0.0000 0.0000 0.0000 Sc
0.5000 0.5000 0.5000 Co
0.2500 0.2500 0.2500 Tc
0.7500 0.7500 0.7500 Tc
```

Results
- Raw total energy: -35.9 eV per formula unit
- Energy above the most stable polymorph in this dataset: 0.292 eV/atom
- Space-group type: No. 225
- Calculated formation energy: 237 meV/atom
- Magnetization: 0.705 μB/atom

3.
This record from Alexandria describes crystalline CrCd at its relaxed geometry. The functional is GGA-PBEsol.

The structure in POSCAR format:
```
CrCd
1.0
0.0000 3.0887 3.0887
3.0887 0.0000 3.0887
3.0887 3.0887 0.0000
Cr Cd
1 1
direct
0.0000 0.0000 0.0000 Cr
0.7500 0.7500 0.7500 Cd
```

Results
- Raw total energy: -8.1 eV per formula unit
- Space-group type: No. 216
- Calculated formation energy: 1653 meV/atom
- Magnetization: 2.284 μB/atom

4.
This record from Alexandria describes crystalline Zr3SI at its relaxed geometry. The functional is GGA-PBEsol.

The structure in POSCAR format:
```
Zr3SI
1.0
4.8326 0.0000 0.0000
0.0000 4.8326 0.0000
0.0000 0.0000 4.8326
Zr S I
3 1 1
direct
0.0000 0.0000 0.5000 Zr
0.0000 0.5000 0.0000 Zr
0.5000 0.0000 0.0000 Zr
0.0000 0.0000 0.0000 S
0.5000 0.5000 0.5000 I
```

Results
- Raw total energy: -34.8 eV per formula unit
- Space-group type: No. 221
- Magnetization: 0.027 μB/atom
- Energy relative to the elements, uncorrected: -273 meV per atom

5.
This record from Alexandria describes crystalline Pd3PtC at its relaxed geometry. The functional is GGA-PBEsol.

The structure in POSCAR format:
```
Pd3PtC
1.0
4.0654 0.0000 0.0000
0.0000 4.0654 0.0000
0.0000 0.0000 4.0654
Pd Pt C
3 1 1
direct
0.0000 0.0000 0.5000 Pd
0.0000 0.5000 0.0000 Pd
0.5000 0.0000 0.0000 Pd
0.5000 0.5000 0.5000 Pt
0.0000 0.0000 0.0000 C
```

Results
- Raw total energy: -32.9 eV per formula unit
- Space-group type: No. 221
- Calculated formation energy: 325 meV/atom
- Magnetization: 0.000 μB/atom

6.
This record from Alexandria describes crystalline CaHf2ZrSn at its relaxed geometry. The functional is GGA-PBEsol.

The structure in POSCAR format:
```
CaHf2ZrSn
1.0
5.0628 0.0000 0.0000
0.0000 5.0628 0.0000
0.0000 0.0000 5.5006
Ca Hf Zr Sn
1 2 1 1
direct
0.0000 0.0000 0.0000 Ca
0.0000 0.5000 0.5000 Hf
0.5000 0.0000 0.5000 Hf
0.5000 0.5000 0.5000 Zr
0.5000 0.5000 0.0000 Sn
```

Results
- Raw total energy: -33.4 eV per formula unit
- Space-group type: No. 123
- Calculated formation energy: 619 meV/atom
- Magnetization: 0.000 μB/atom

7.
This record from Alexandria describes crystalline MnZnH22C5N10Cl4O6 at its relaxed geometry. The functional is GGA-PBEsol.

The structure in POSCAR format:
```
MnZnH22C5N10Cl4O6
1.0
7.6069 0.0000 0.0000
-2.6385 11.7707 0.0000
-2.9912 -5.2409 12.0346
Mn Zn H C N Cl O
2 2 44 10 20 8 12
direct
0.0284 0.2208 0.2459 Mn
0.9716 0.7792 0.7541 Mn
0.4501 0.7233 0.3019 Zn
0.5499 0.2767 0.6981 Zn
0.0260 0.5486 0.7753 H
0.0303 0.7854 0.3827 H
0.0691 0.3808 0.9376 H
0.1162 0.1376 0.5565 H
0.1447 0.0161 0.7412 H
0.1568 0.7991 0.0951 H
0.1597 0.8523 0.9870 H
0.1900 0.4647 0.7744 H
0.1918 0.0827 0.3655 H
0.2291 0.7381 0.6258 H
0.2353 0.7110 0.4891 H
0.2405 0.4682 0.0709 H
0.2663 0.1747 0.8279 H
0.2779 0.4579 0.3918 H
0.2810 0.1304 0.0781 H
0.2925 0.3677 0.4532 H
0.3488 0.2352 0.0199 H
0.3638 0.0034 0.3711 H
0.4456 0.9011 0.8100 H
0.4523 0.3039 0.2428 H
0.4536 0.0015 0.7423 H
0.4832 0.5464 0.7582 H
0.5168 0.4536 0.2418 H
0.5464 0.9985 0.2577 H
0.5477 0.6961 0.7572 H
0.5544 0.0989 0.1900 H
0.6362 0.9966 0.6289 H
0.6512 0.7648 0.9801 H
0.7075 0.6323 0.5468 H
0.7190 0.8696 0.9219 H
0.7221 0.5421 0.6082 H
0.7337 0.8253 0.1721 H
0.7595 0.5318 0.9291 H
0.7647 0.2890 0.5109 H
0.7709 0.2619 0.3742 H
0.8082 0.9173 0.6345 H
0.8100 0.5353 0.2256 H
0.8403 0.1477 0.0130 H
0.8432 0.2009 0.9049 H
0.8553 0.9839 0.2588 H
0.8838 0.8624 0.4435 H
0.9309 0.6192 0.0624 H
0.9697 0.2146 0.6173 H
0.9740 0.4514 0.2247 H
0.0416 0.3133 0.0572 C
0.0576 0.8084 0.5448 C
0.2143 0.0556 0.9072 C
0.2768 0.6320 0.7613 C
0.3468 0.0869 0.2608 C
0.6532 0.9131 0.7392 C
0.7232 0.3680 0.2387 C
0.7857 0.9444 0.0928 C
0.9424 0.1916 0.4552 C
0.9584 0.6867 0.9428 C
0.0159 0.1818 0.5506 N
0.1114 0.7836 0.0129 N
0.1271 0.3917 0.0179 N
0.1510 0.5373 0.7647 N
0.1871 0.7503 0.5530 N
0.2066 0.0860 0.8194 N
0.2922 0.0502 0.3353 N
0.3017 0.1452 0.0098 N
0.4498 0.6244 0.7605 N
0.4754 0.0435 0.2186 N
0.5246 0.9565 0.7814 N
0.5502 0.3756 0.2395 N
0.6983 0.8548 0.9902 N
0.7078 0.9498 0.6647 N
0.7934 0.9140 0.1806 N
0.8129 0.2497 0.4470 N
0.8490 0.4627 0.2353 N
0.8729 0.6083 0.9821 N
0.8886 0.2164 0.9871 N
0.9841 0.8182 0.4494 N
0.1435 0.7147 0.2389 Cl
0.3722 0.0768 0.6041 Cl
0.4463 0.3741 0.8362 Cl
0.4662 0.6297 0.4236 Cl
0.5338 0.3703 0.5764 Cl
0.5537 0.6259 0.1638 Cl
0.6278 0.9232 0.3959 Cl
0.8565 0.2853 0.7611 Cl
0.0043 0.8557 0.6297 O
0.1071 0.3330 0.1597 O
0.1439 0.9434 0.8941 O
0.2051 0.3804 0.3945 O
0.2338 0.7279 0.7579 O
0.2756 0.1593 0.2255 O
0.7244 0.8407 0.7745 O
0.7662 0.2721 0.2421 O
0.7949 0.6196 0.6055 O
0.8561 0.0566 0.1059 O
0.8929 0.6670 0.8403 O
0.9957 0.1443 0.3703 O
```

Results
- Raw total energy: -290.9 eV per formula unit
- Space-group type: No. 2
- Magnetization: 0.102 μB/atom

8.
This record from Alexandria describes crystalline SrMg4 at its relaxed geometry. The functional is GGA-PBEsol.

The structure in POSCAR format:
```
SrMg4
1.0
-3.5918 3.5918 2.6504
3.5918 -3.5918 2.6504
3.5918 3.5918 -2.6504
Sr Mg
1 4
direct
0.0000 0.0000 0.0000 Sr
0.1974 0.5418 0.7393 Mg
0.4582 0.1974 0.6556 Mg
0.5418 0.8026 0.3444 Mg
0.8026 0.4582 0.2607 Mg
```

Results
- Raw total energy: -8.8 eV per formula unit
- Energy above the most stable polymorph in this dataset: 0.000 eV/atom
- Space-group type: No. 87
- Calculated formation energy: -9 meV/atom
- Magnetization: 0.000 μB/atom